A plane-wave DFT calculation with SCAN was carried out for a PBEsol-optimized structure of Dy2Cu2O5.

Computed properties:
Formation energy from raw total energies = -2.51 eV per atom
Calculated density = 7.6 g cm⁻³
Calculated total energy = -19.974 eV per atom
Size of the total moment = 8.0 μB per cell

Unit cell a=10.758 b=3.483 c=12.367 alpha=90.00 beta=90.00 gamma=90.00
Atoms (fractional coordinates):
1 Dy 0.043 0.218 0.000
2 Dy 0.208 0.215 0.328
3 Dy 0.292 0.715 0.828
4 Dy 0.457 0.718 0.500
5 Dy 0.543 0.282 0.000
6 Dy 0.708 0.285 0.328
7 Dy 0.792 0.785 0.828
8 Dy 0.957 0.782 0.500
9 Cu 0.011 0.342 0.717
10 Cu 0.238 0.153 0.613
11 Cu 0.262 0.653 0.113
12 Cu 0.489 0.842 0.217
13 Cu 0.511 0.158 0.717
14 Cu 0.738 0.347 0.613
15 Cu 0.762 0.847 0.113
16 Cu 0.989 0.658 0.217
17 O 0.072 0.279 0.567
18 O 0.076 0.721 0.356
19 O 0.125 0.345 0.164
20 O 0.174 0.722 0.974
21 O 0.176 0.213 0.764
22 O 0.324 0.713 0.264
23 O 0.326 0.222 0.474
24 O 0.375 0.845 0.664
25 O 0.424 0.221 0.856
26 O 0.428 0.779 0.067
27 O 0.572 0.221 0.567
28 O 0.576 0.779 0.356
29 O 0.625 0.155 0.164
30 O 0.674 0.778 0.974
31 O 0.676 0.287 0.764
32 O 0.824 0.787 0.264
33 O 0.826 0.278 0.474
34 O 0.875 0.655 0.664
35 O 0.924 0.279 0.856
36 O 0.928 0.721 0.067



A plane-wave DFT calculation with SCAN was carried out for a PBEsol-optimized structure of Dy2Cu2O5.

Computed properties:
Formation energy from raw total energies = -2.49 eV per atom
Calculated density = 7.3 g cm⁻³
Calculated total energy = -19.947 eV per atom
Size of the total moment = 0.0 μB per cell

Unit cell a=6.167 b=11.063 c=7.072 alpha=90.00 beta=90.00 gamma=90.00
Atoms (fractional coordinates):
1 Dy 0.250 0.023 0.119
2 Dy 0.250 0.477 0.119
3 Dy 0.250 0.523 0.619
4 Dy 0.250 0.977 0.619
5 Dy 0.750 0.023 0.381
6 Dy 0.750 0.477 0.381
7 Dy 0.750 0.523 0.881
8 Dy 0.750 0.977 0.881
9 Cu 0.071 0.250 0.347
10 Cu 0.088 0.250 0.870
11 Cu 0.412 0.750 0.370
12 Cu 0.429 0.750 0.847
13 Cu 0.571 0.250 0.153
14 Cu 0.588 0.250 0.630
15 Cu 0.912 0.750 0.130
16 Cu 0.929 0.750 0.653
17 O 0.069 0.085 0.855
18 O 0.069 0.415 0.855
19 O 0.097 0.088 0.387
20 O 0.097 0.412 0.387
21 O 0.246 0.750 0.618
22 O 0.254 0.250 0.118
23 O 0.403 0.588 0.887
24 O 0.403 0.912 0.887
25 O 0.431 0.585 0.355
26 O 0.431 0.915 0.355
27 O 0.569 0.085 0.645
28 O 0.569 0.415 0.645
29 O 0.597 0.088 0.113
30 O 0.597 0.412 0.113
31 O 0.746 0.750 0.882
32 O 0.754 0.250 0.382
33 O 0.903 0.588 0.613
34 O 0.903 0.912 0.613
35 O 0.931 0.585 0.145
36 O 0.931 0.915 0.145



A plane-wave DFT calculation with SCAN was carried out for a PBEsol-optimized structure of Sr2DyCu3Pb2O8.

Computed properties:
Formation energy from raw total energies = -1.92 eV per atom
Calculated density = 8.0 g cm⁻³
Calculated total energy = -23.127 eV per atom
Size of the total moment = 0.0 μB per cell

Unit cell a=3.777 b=3.777 c=15.670 alpha=90.00 beta=90.00 gamma=90.00
Atoms (fractional coordinates):
1 Sr 0.000 0.000 0.220
2 Sr 0.000 0.000 0.780
3 Dy 0.000 0.000 0.000
4 Cu 0.000 0.000 0.500
5 Cu 0.500 0.500 0.103
6 Cu 0.500 0.500 0.897
7 Pb 0.500 0.500 0.388
8 Pb 0.500 0.500 0.612
9 O 0.000 0.000 0.383
10 O 0.000 0.000 0.617
11 O 0.000 0.500 0.092
12 O 0.000 0.500 0.908
13 O 0.500 0.000 0.092
14 O 0.500 0.000 0.908
15 O 0.500 0.500 0.250
16 O 0.500 0.500 0.750



A plane-wave DFT calculation with SCAN was carried out for a PBEsol-optimized structure of Dy2CuOs.

Computed properties:
Energy of formation from the pure elements = -1.5 eV per formula unit
Calculated density = 12.5 g cm⁻³
Calculated total energy = -46.044 eV per atom
Size of the total moment = 0.0 μB per cell

Unit cell a=6.746 b=6.746 c=6.746 alpha=90.00 beta=90.00 gamma=90.00
Atoms (fractional coordinates):
1 Dy 0.250 0.250 0.250
2 Dy 0.250 0.250 0.750
3 Dy 0.250 0.750 0.250
4 Dy 0.250 0.750 0.750
5 Dy 0.750 0.250 0.250
6 Dy 0.750 0.250 0.750
7 Dy 0.750 0.750 0.250
8 Dy 0.750 0.750 0.750
9 Cu 0.000 0.000 0.000
10 Cu 0.000 0.500 0.500
11 Cu 0.500 0.000 0.500
12 Cu 0.500 0.500 0.000
13 Os 0.000 0.000 0.500
14 Os 0.000 0.500 0.000
15 Os 0.500 0.000 0.000
16 Os 0.500 0.500 0.500



A plane-wave DFT calculation with SCAN was carried out for a PBEsol-optimized structure of Dy4Cu5P7.

Computed properties:
Energy of formation from the pure elements = -14.6 eV per formula unit
Calculated density = 7.6 g cm⁻³
Calculated total energy = -22.160 eV per atom
Size of the total moment = 0.0 μB per cell

Unit cell a=10.211 b=10.211 c=10.211 alpha=150.50 beta=150.50 gamma=42.20
Atoms (fractional coordinates):
1 Dy 0.125 0.641 0.000
2 Dy 0.359 0.359 0.483
3 Dy 0.641 0.125 0.000
4 Dy 0.875 0.875 0.517
5 Cu 0.249 0.249 0.000
6 Cu 0.250 0.750 0.500
7 Cu 0.500 0.500 0.000
8 Cu 0.750 0.250 0.500
9 Cu 0.751 0.751 0.000
10 P 0.000 0.000 0.000
11 P 0.000 0.500 0.500
12 P 0.083 0.083 0.509
13 P 0.426 0.917 0.000
14 P 0.500 0.000 0.500
15 P 0.574 0.574 0.491
16 P 0.917 0.426 0.000



A plane-wave DFT calculation with SCAN was carried out for a PBEsol-optimized structure of DyCu4Pd.

Computed properties:
Energy of formation from the pure elements = -2.3 eV per formula unit
Calculated density = 10.4 g cm⁻³
Calculated total energy = -23.949 eV per atom
Size of the total moment = 0.0 μB per cell

Unit cell a=4.907 b=4.907 c=4.907 alpha=60.00 beta=60.00 gamma=60.00
Atoms (fractional coordinates):
1 Dy 0.000 0.000 0.000
2 Cu 0.128 0.624 0.624
3 Cu 0.624 0.128 0.624
4 Cu 0.624 0.624 0.128
5 Cu 0.624 0.624 0.624
6 Pd 0.250 0.250 0.250



A plane-wave DFT calculation with SCAN was carried out for a PBEsol-optimized structure of PmDyCu2.

Computed properties:
Energy of formation from the pure elements = -1.0 eV per formula unit
Calculated density = 8.8 g cm⁻³
Calculated total energy = -30.792 eV per atom
Size of the total moment = 0.0 μB per cell

Unit cell a=6.901 b=6.901 c=6.901 alpha=90.00 beta=90.00 gamma=90.00
Atoms (fractional coordinates):
1 Pm 0.000 0.000 0.000
2 Pm 0.000 0.500 0.500
3 Pm 0.500 0.000 0.500
4 Pm 0.500 0.500 0.000
5 Dy 0.000 0.000 0.500
6 Dy 0.000 0.500 0.000
7 Dy 0.500 0.000 0.000
8 Dy 0.500 0.500 0.500
9 Cu 0.250 0.250 0.250
10 Cu 0.250 0.250 0.750
11 Cu 0.250 0.750 0.250
12 Cu 0.250 0.750 0.750
13 Cu 0.750 0.250 0.250
14 Cu 0.750 0.250 0.750
15 Cu 0.750 0.750 0.250
16 Cu 0.750 0.750 0.750



A plane-wave DFT calculation with SCAN was carried out for a PBEsol-optimized structure of Dy2CuPt.

Computed properties:
Energy of formation from the pure elements = -3.6 eV per formula unit
Calculated density = 12.1 g cm⁻³
Calculated total energy = -46.157 eV per atom
Size of the total moment = 0.0 μB per cell

Unit cell a=6.846 b=6.846 c=6.846 alpha=90.00 beta=90.00 gamma=90.00
Atoms (fractional coordinates):
1 Dy 0.250 0.250 0.250
2 Dy 0.250 0.250 0.750
3 Dy 0.250 0.750 0.250
4 Dy 0.250 0.750 0.750
5 Dy 0.750 0.250 0.250
6 Dy 0.750 0.250 0.750
7 Dy 0.750 0.750 0.250
8 Dy 0.750 0.750 0.750
9 Cu 0.000 0.000 0.000
10 Cu 0.000 0.500 0.500
11 Cu 0.500 0.000 0.500
12 Cu 0.500 0.500 0.000
13 Pt 0.000 0.000 0.500
14 Pt 0.000 0.500 0.000
15 Pt 0.500 0.000 0.000
16 Pt 0.500 0.500 0.500



A plane-wave DFT calculation with SCAN was carried out for a PBEsol-optimized structure of Dy2CuRu.

Computed properties:
Energy of formation from the pure elements = -1.7 eV per formula unit
Calculated density = 10.6 g cm⁻³
Calculated total energy = -36.821 eV per atom
Size of the total moment = 0.0 μB per cell

Unit cell a=6.740 b=6.740 c=6.740 alpha=90.00 beta=90.00 gamma=90.00
Atoms (fractional coordinates):
1 Dy 0.250 0.250 0.250
2 Dy 0.250 0.250 0.750
3 Dy 0.250 0.750 0.250
4 Dy 0.250 0.750 0.750
5 Dy 0.750 0.250 0.250
6 Dy 0.750 0.250 0.750
7 Dy 0.750 0.750 0.250
8 Dy 0.750 0.750 0.750
9 Cu 0.000 0.000 0.000
10 Cu 0.000 0.500 0.500
11 Cu 0.500 0.000 0.500
12 Cu 0.500 0.500 0.000
13 Ru 0.000 0.000 0.500
14 Ru 0.000 0.500 0.000
15 Ru 0.500 0.000 0.000
16 Ru 0.500 0.500 0.500



A plane-wave DFT calculation with SCAN was carried out for a PBEsol-optimized structure of DyCu3S3.

Computed properties:
Formation energy from raw total energies = -0.99 eV per atom
Calculated density = 6.4 g cm⁻³
Calculated total energy = -18.456 eV per atom
Size of the total moment = 0.0 μB per cell

Unit cell a=7.317 b=7.317 c=7.317 alpha=53.39 beta=53.39 gamma=53.39
Atoms (fractional coordinates):
1 Dy 0.167 0.167 0.167
2 Dy 0.833 0.833 0.833
3 Cu 0.034 0.377 0.720
4 Cu 0.280 0.966 0.623
5 Cu 0.377 0.720 0.034
6 Cu 0.623 0.280 0.966
7 Cu 0.720 0.034 0.377
8 Cu 0.966 0.623 0.280
9 S 0.088 0.744 0.417
10 S 0.256 0.583 0.912
11 S 0.417 0.088 0.744
12 S 0.583 0.912 0.256
13 S 0.744 0.417 0.088
14 S 0.912 0.256 0.583



A plane-wave DFT calculation with SCAN was carried out for a PBEsol-optimized structure of Dy3CuSiS7.

Computed properties:
Formation energy from raw total energies = -1.74 eV per atom
Calculated density = 5.8 g cm⁻³
Calculated total energy = -21.407 eV per atom
Size of the total moment = 0.0 μB per cell

Unit cell a=9.751 b=9.751 c=5.591 alpha=90.00 beta=90.00 gamma=120.00
Atoms (fractional coordinates):
1 Dy 0.128 0.771 0.000
2 Dy 0.229 0.357 0.000
3 Dy 0.357 0.128 0.500
4 Dy 0.643 0.872 0.000
5 Dy 0.771 0.643 0.500
6 Dy 0.872 0.229 0.500
7 Cu 0.000 0.000 0.034
8 Cu 0.000 0.000 0.534
9 Si 0.333 0.667 0.413
10 Si 0.667 0.333 0.913
11 S 0.094 0.835 0.519
12 S 0.104 0.521 0.262
13 S 0.165 0.259 0.519
14 S 0.259 0.094 0.019
15 S 0.333 0.667 0.789
16 S 0.417 0.896 0.262
17 S 0.479 0.583 0.262
18 S 0.521 0.417 0.762
19 S 0.583 0.104 0.762
20 S 0.667 0.333 0.289
21 S 0.741 0.906 0.519
22 S 0.835 0.741 0.019
23 S 0.896 0.479 0.762
24 S 0.906 0.165 0.019



A plane-wave DFT calculation with SCAN was carried out for a PBEsol-optimized structure of Dy3CuSnS7.

Computed properties:
Formation energy from raw total energies = -1.61 eV per atom
Calculated density = 6.1 g cm⁻³
Calculated total energy = -23.437 eV per atom
Size of the total moment = 0.0 μB per cell

Unit cell a=9.643 b=9.643 c=6.046 alpha=90.00 beta=90.00 gamma=120.00
Atoms (fractional coordinates):
1 Dy 0.147 0.359 0.000
2 Dy 0.212 0.853 0.000
3 Dy 0.359 0.212 0.500
4 Dy 0.641 0.788 0.000
5 Dy 0.788 0.147 0.500
6 Dy 0.853 0.641 0.500
7 Cu 0.000 0.000 0.097
8 Cu 0.000 0.000 0.597
9 Sn 0.333 0.667 0.434
10 Sn 0.667 0.333 0.934
11 S 0.079 0.563 0.251
12 S 0.112 0.263 0.565
13 S 0.150 0.888 0.565
14 S 0.263 0.150 0.065
15 S 0.333 0.667 0.825
16 S 0.437 0.516 0.251
17 S 0.484 0.921 0.251
18 S 0.516 0.079 0.751
19 S 0.563 0.484 0.751
20 S 0.667 0.333 0.325
21 S 0.737 0.850 0.565
22 S 0.850 0.112 0.065
23 S 0.888 0.737 0.065
24 S 0.921 0.437 0.751



A plane-wave DFT calculation with SCAN was carried out for a PBEsol-optimized structure of DyCuSb2.

Computed properties:
Formation energy from raw total energies = -0.68 eV per atom
Calculated density = 9.0 g cm⁻³
Calculated total energy = -35.057 eV per atom
Size of the total moment = 0.0 μB per cell

Unit cell a=4.254 b=4.254 c=9.618 alpha=90.00 beta=90.00 gamma=90.00
Atoms (fractional coordinates):
1 Dy 0.250 0.250 0.249
2 Dy 0.750 0.750 0.751
3 Cu 0.250 0.750 0.000
4 Cu 0.750 0.250 0.000
5 Sb 0.250 0.250 0.838
6 Sb 0.250 0.750 0.500
7 Sb 0.750 0.250 0.500
8 Sb 0.750 0.750 0.162



A plane-wave DFT calculation with SCAN was carried out for a PBEsol-optimized structure of DyCu3Se3.

Computed properties:
Formation energy from raw total energies = -0.82 eV per atom
Calculated density = 7.4 g cm⁻³
Calculated total energy = -22.766 eV per atom
Size of the total moment = 0.0 μB per cell

Unit cell a=7.590 b=7.590 c=7.590 alpha=53.75 beta=53.75 gamma=53.75
Atoms (fractional coordinates):
1 Dy 0.166 0.166 0.166
2 Dy 0.834 0.834 0.834
3 Cu 0.021 0.733 0.371
4 Cu 0.267 0.629 0.979
5 Cu 0.371 0.021 0.733
6 Cu 0.629 0.979 0.267
7 Cu 0.733 0.371 0.021
8 Cu 0.979 0.267 0.629
9 Se 0.100 0.420 0.734
10 Se 0.266 0.900 0.580
11 Se 0.420 0.734 0.100
12 Se 0.580 0.266 0.900
13 Se 0.734 0.100 0.420
14 Se 0.900 0.580 0.266



A plane-wave DFT calculation with SCAN was carried out for a PBEsol-optimized structure of Dy3CuSiSe7.

Computed properties:
Formation energy from raw total energies = -1.47 eV per atom
Calculated density = 7.1 g cm⁻³
Calculated total energy = -27.236 eV per atom
Size of the total moment = 0.0 μB per cell

Unit cell a=10.186 b=10.186 c=5.885 alpha=90.00 beta=90.00 gamma=120.00
Atoms (fractional coordinates):
1 Dy 0.131 0.356 0.000
2 Dy 0.224 0.869 0.000
3 Dy 0.356 0.224 0.500
4 Dy 0.644 0.776 0.000
5 Dy 0.776 0.131 0.500
6 Dy 0.869 0.644 0.500
7 Cu 0.000 0.000 0.464
8 Cu 0.000 0.000 0.964
9 Si 0.333 0.667 0.588
10 Si 0.667 0.333 0.088
11 Se 0.098 0.262 0.479
12 Se 0.098 0.579 0.745
13 Se 0.164 0.902 0.479
14 Se 0.262 0.164 0.979
15 Se 0.333 0.667 0.205
16 Se 0.421 0.519 0.745
17 Se 0.481 0.902 0.745
18 Se 0.519 0.098 0.245
19 Se 0.579 0.481 0.245
20 Se 0.667 0.333 0.705
21 Se 0.738 0.836 0.479
22 Se 0.836 0.098 0.979
23 Se 0.902 0.421 0.245
24 Se 0.902 0.738 0.979



A plane-wave DFT calculation with SCAN was carried out for a PBEsol-optimized structure of Dy3Cu4Si4.

Computed properties:
Formation energy from raw total energies = -0.67 eV per atom
Calculated density = 8.0 g cm⁻³
Calculated total energy = -22.879 eV per atom
Size of the total moment = 0.0 μB per cell

Unit cell a=7.761 b=7.761 c=7.761 alpha=149.47 beta=130.87 gamma=58.96
Atoms (fractional coordinates):
1 Dy 0.000 0.000 0.000
2 Dy 0.370 0.870 0.500
3 Dy 0.630 0.130 0.500
4 Cu 0.022 0.331 0.691
5 Cu 0.360 0.669 0.691
6 Cu 0.640 0.331 0.309
7 Cu 0.978 0.669 0.309
8 Si 0.216 0.216 0.000
9 Si 0.314 0.500 0.814
10 Si 0.686 0.500 0.186
11 Si 0.784 0.784 0.000



A plane-wave DFT calculation with SCAN was carried out for a PBEsol-optimized structure of Dy3Cu4Sn4.

Computed properties:
Energy of formation from the pure elements = -6.6 eV per formula unit
Calculated density = 9.3 g cm⁻³
Calculated total energy = -32.221 eV per atom
Size of the total moment = 0.0 μB per cell

Unit cell a=8.304 b=8.304 c=8.304 alpha=149.23 beta=131.45 gamma=58.59
Atoms (fractional coordinates):
1 Dy 0.000 0.000 0.000
2 Dy 0.369 0.869 0.500
3 Dy 0.631 0.131 0.500
4 Cu 0.017 0.329 0.688
5 Cu 0.359 0.671 0.688
6 Cu 0.641 0.329 0.312
7 Cu 0.983 0.671 0.312
8 Sn 0.216 0.216 0.000
9 Sn 0.296 0.500 0.796
10 Sn 0.704 0.500 0.204
11 Sn 0.784 0.784 0.000



A plane-wave DFT calculation with SCAN was carried out for a PBEsol-optimized structure of ErCu2.

Computed properties:
Energy of formation from the pure elements = -1.0 eV per formula unit
Calculated density = 9.9 g cm⁻³
Calculated total energy = -27.235 eV per atom
Size of the total moment = 0.0 μB per cell

Unit cell a=4.217 b=6.572 c=7.160 alpha=90.00 beta=90.00 gamma=90.00
Atoms (fractional coordinates):
1 Er 0.000 0.250 0.047
2 Er 0.000 0.750 0.953
3 Er 0.500 0.250 0.453
4 Er 0.500 0.750 0.547
5 Cu 0.000 0.053 0.665
6 Cu 0.000 0.447 0.665
7 Cu 0.000 0.553 0.335
8 Cu 0.000 0.947 0.335
9 Cu 0.500 0.053 0.835
10 Cu 0.500 0.447 0.835
11 Cu 0.500 0.553 0.165
12 Cu 0.500 0.947 0.165